#one
SmGeTe3: optimized geometry, GGA-PBE.

Unit cell a=13.1678 b=4.2644 c=10.7824 alpha=90.00 beta=90.00 gamma=90.00
Last column: nearest neighbours and their distance in Å.
Fractional positions:
Sm: 0.1887 0.2500 0.0057  8 Te 3.18-3.32
Sm: 0.3113 0.7500 0.5057  8 Te 3.18-3.32
Sm: 0.6887 0.2500 0.4943  8 Te 3.18-3.32
Sm: 0.8113 0.7500 0.9943  8 Te 3.18-3.32
Ge: 0.0187 0.7500 0.6863  6 Te 2.84-3.10
Ge: 0.4813 0.2500 0.1863  6 Te 2.84-3.10
Ge: 0.5187 0.7500 0.8137  6 Te 2.84-3.10
Ge: 0.9813 0.2500 0.3137  6 Te 2.84-3.10
Te: 0.0345 0.7500 0.1377  2 Ge 2.94, 2 Sm 3.27
Te: 0.1275 0.2500 0.5258  3 Ge 2.99-3.10, 2 Sm 3.23, 1 Te 3.26
Te: 0.2172 0.7500 0.7902  1 Ge 2.84, 2 Sm 3.18
Te: 0.2828 0.2500 0.2902  1 Ge 2.84, 2 Sm 3.18
Te: 0.3725 0.7500 0.0258  3 Ge 2.99-3.10, 2 Sm 3.23, 1 Te 3.26
Te: 0.4655 0.2500 0.6377  2 Ge 2.94, 2 Sm 3.27
Te: 0.5345 0.7500 0.3623  2 Ge 2.94, 2 Sm 3.27
Te: 0.6275 0.2500 0.9742  3 Ge 2.99-3.10, 2 Sm 3.23, 1 Te 3.26
Te: 0.7172 0.7500 0.7098  1 Ge 2.84, 2 Sm 3.18
Te: 0.7828 0.2500 0.2098  1 Ge 2.84, 2 Sm 3.18
Te: 0.8725 0.7500 0.4742  3 Ge 2.99-3.10, 2 Sm 3.23, 1 Te 3.26
Te: 0.9655 0.2500 0.8623  2 Ge 2.94, 2 Sm 3.27

SG	Pnma (62)
volume	605.5	Å³/cell
spin magnetization	0.0	μB/cell

=====

#two
SmGeTe3: optimized geometry, GGA-PBE.

Unit cell a=9.8113 b=11.5084 c=6.6034 alpha=90.00 beta=90.00 gamma=90.00
Last column: nearest neighbours and their distance in Å.
Fractional positions:
Sm: 0.0000 0.0000 0.0000  6 Te 3.07-3.24
Sm: 0.0000 0.5000 0.0000  6 Te 3.07-3.24
Sm: 0.5000 0.0000 0.5000  6 Te 3.07-3.24
Sm: 0.5000 0.5000 0.5000  6 Te 3.07-3.24
Ge: 0.2309 0.2500 0.4642  4 Te 2.70-2.86
Ge: 0.2691 0.7500 0.9642  4 Te 2.70-2.86
Ge: 0.7309 0.2500 0.0358  4 Te 2.70-2.86
Ge: 0.7691 0.7500 0.5358  4 Te 2.70-2.86
Te: 0.0114 0.7500 0.7754  2 Ge 2.82-2.86
Te: 0.2493 0.5799 0.2447  1 Ge 2.70
Te: 0.2493 0.9201 0.2447  1 Ge 2.70
Te: 0.2507 0.0799 0.7447  1 Ge 2.70
Te: 0.2507 0.4201 0.7447  1 Ge 2.70
Te: 0.4886 0.2500 0.2754  2 Ge 2.82-2.86
Te: 0.5114 0.7500 0.7246  2 Ge 2.82-2.86
Te: 0.7493 0.5799 0.2553  1 Ge 2.70
Te: 0.7493 0.9201 0.2553  1 Ge 2.70
Te: 0.7507 0.0799 0.7553  1 Ge 2.70
Te: 0.7507 0.4201 0.7553  1 Ge 2.70
Te: 0.9886 0.2500 0.2246  2 Ge 2.82-2.86

SG	Pnma (62)
volume	745.6	Å³/cell
spin magnetization	0.0	μB/cell

=====

Result of the stability comparison: #one is the most stable of them.

=====

#one
Sm5TlGe2: optimized geometry, GGA-PBE.

Unit cell a=9.1081 b=9.1081 c=9.1081 alpha=128.20 beta=128.20 gamma=76.29
Last column: nearest neighbours and their distance in Å.
Fractional positions:
Sm: 0.0000 0.0000 0.0000  4 Ge 3.08
Sm: 0.0243 0.5243 0.8292  3 Ge 3.00-3.14
Sm: 0.1951 0.0243 0.5000  3 Ge 3.00-3.14
Sm: 0.3049 0.8049 0.8292  3 Ge 3.00-3.14
Sm: 0.4757 0.3049 0.5000  3 Ge 3.00-3.14
Sm: 0.5000 0.5000 0.0000  4 Ge 3.08
Sm: 0.5243 0.6951 0.5000  3 Ge 3.00-3.14
Sm: 0.6951 0.1951 0.1708  3 Ge 3.00-3.14
Sm: 0.8049 0.9757 0.5000  3 Ge 3.00-3.14
Sm: 0.9757 0.4757 0.1708  3 Ge 3.00-3.14
Tl: 0.2500 0.2500 0.0000  10 Sm 3.36-3.58
Tl: 0.7500 0.7500 0.0000  10 Sm 3.36-3.58
Ge: 0.1375 0.3625 0.5000  8 Sm 3.00-3.14, 1 Ge 3.09
Ge: 0.3625 0.8625 0.2251  8 Sm 3.00-3.14, 1 Ge 3.09
Ge: 0.6375 0.1375 0.7749  8 Sm 3.00-3.14, 1 Ge 3.09
Ge: 0.8625 0.6375 0.5000  8 Sm 3.00-3.14, 1 Ge 3.09

SG	I4/mcm (140)
volume	453.4	Å³/cell
spin magnetization	0.0	μB/cell

=====

#two
Sm5TlGe2: optimized geometry, GGA-PBE.

Unit cell a=6.8740 b=6.6338 c=6.6281 alpha=62.44 beta=58.82 gamma=58.74
Last column: nearest neighbours and their distance in Å.
Fractional positions:
Sm: 0.0000 0.0000 0.0000  8 Sm 3.31-3.32, 4 Ge 3.44
Sm: 0.0000 0.0000 0.5000  2 Tl 3.31, 6 Sm 3.31-3.44, 4 Ge 3.32
Sm: 0.0000 0.5000 0.0000  4 Ge 3.31, 2 Tl 3.32, 6 Sm 3.32-3.44
Sm: 0.5000 0.0000 0.5000  4 Ge 3.31, 2 Tl 3.32, 6 Sm 3.32-3.44
Sm: 0.5000 0.5000 0.0000  2 Tl 3.31, 6 Sm 3.31-3.44, 4 Ge 3.32
Tl: 0.5000 0.5000 0.5000  8 Sm 3.31-3.32, 4 Ge 3.44
Ge: 0.0000 0.5000 0.5000  10 Sm 3.31-3.44, 2 Tl 3.44
Ge: 0.5000 0.0000 0.0000  10 Sm 3.31-3.44, 2 Tl 3.44

SG	Fmmm (69)
volume	213.1	Å³/cell
spin magnetization	0.0	μB/cell

=====

Result of the stability comparison: #one is the most stable of them.

=====

#one
Sm2TmGe2: optimized geometry, GGA-PBE.

Unit cell a=7.6107 b=7.6107 c=4.3550 alpha=90.00 beta=90.00 gamma=90.00
Last column: nearest neighbours and their distance in Å.
Fractional positions:
Sm: 0.1739 0.3261 0.0000  6 Ge 3.08-3.17
Sm: 0.3261 0.8261 0.0000  6 Ge 3.08-3.17
Sm: 0.6739 0.1739 0.0000  6 Ge 3.08-3.17
Sm: 0.8261 0.6739 0.0000  6 Ge 3.08-3.17
Tm: 0.0000 0.0000 0.5000  4 Ge 3.01
Tm: 0.5000 0.5000 0.5000  4 Ge 3.01
Ge: 0.1242 0.6242 0.5000  1 Ge 2.67
Ge: 0.3758 0.1242 0.5000  1 Ge 2.67
Ge: 0.6242 0.8758 0.5000  1 Ge 2.67
Ge: 0.8758 0.3758 0.5000  1 Ge 2.67

SG	P4/mbm (127)
volume	252.3	Å³/cell
spin magnetization	0.0	μB/cell

=====

#two
Sm2TmGe2: optimized geometry, GGA-PBE.

Unit cell a=6.5549 b=6.5549 c=10.6582 alpha=115.10 beta=115.10 gamma=39.16
Last column: nearest neighbours and their distance in Å.
Fractional positions:
Sm: 0.0161 0.0161 0.1872  6 Ge 3.07-3.27
Sm: 0.1799 0.1799 0.5894  5 Ge 3.08-3.41
Sm: 0.8201 0.8201 0.4106  5 Ge 3.08-3.41
Sm: 0.9839 0.9839 0.8128  6 Ge 3.07-3.27
Tm: 0.2786 0.2786 0.1365  4 Ge 2.82-2.98
Tm: 0.7214 0.7214 0.8635  4 Ge 2.82-2.98
Ge: 0.3818 0.3818 0.9376  1 Ge 2.61, 2 Tm 2.82
Ge: 0.4808 0.4808 0.6101  1 Ge 2.59
Ge: 0.5192 0.5192 0.3899  1 Ge 2.59
Ge: 0.6182 0.6182 0.0624  1 Ge 2.61, 2 Tm 2.82

SG	C2/m (12)
volume	258.2	Å³/cell
spin magnetization	0.0	μB/cell

=====

Result of the stability comparison: #one is the most stable of them.

=====

#one
SmTmZnGe: optimized geometry, GGA-PBE.

Unit cell a=4.1076 b=4.1967 c=11.0023 alpha=90.00 beta=90.00 gamma=90.00
Last column: nearest neighbours and their distance in Å.
Fractional positions:
Sm: 0.0000 0.0000 0.0000  4 Zn 3.04, 3 Ge 3.06-3.22
Sm: 0.0000 0.5000 0.5000  4 Zn 3.04, 3 Ge 3.06-3.22
Tm: 0.5000 0.0000 0.2825  4 Ge 3.01, 3 Zn 3.12-3.19
Tm: 0.5000 0.5000 0.7825  4 Ge 3.01, 3 Zn 3.12-3.19
Zn: 0.5000 0.0000 0.5722  2 Ge 2.63
Zn: 0.5000 0.5000 0.0722  2 Ge 2.63
Ge: 0.0000 0.0000 0.7219  2 Zn 2.63
Ge: 0.0000 0.5000 0.2219  2 Zn 2.63

SG	Amm2 (38)
volume	189.7	Å³/cell
spin magnetization	0.1	μB/cell

=====

#two
SmTmZnGe: optimized geometry, GGA-PBE.

Unit cell a=7.1290 b=7.1290 c=7.1290 alpha=90.00 beta=90.00 gamma=90.00
Last column: nearest neighbours and their distance in Å.
Fractional positions:
Sm: 0.0000 0.0000 0.0000  4 Zn 3.09, 4 Ge 3.09
Sm: 0.0000 0.5000 0.5000  4 Zn 3.09, 4 Ge 3.09
Sm: 0.5000 0.0000 0.5000  4 Zn 3.09, 4 Ge 3.09
Sm: 0.5000 0.5000 0.0000  4 Zn 3.09, 4 Ge 3.09
Tm: 0.0000 0.0000 0.5000  4 Ge 3.09, 4 Zn 3.09
Tm: 0.0000 0.5000 0.0000  4 Ge 3.09, 4 Zn 3.09
Tm: 0.5000 0.0000 0.0000  4 Ge 3.09, 4 Zn 3.09
Tm: 0.5000 0.5000 0.5000  4 Ge 3.09, 4 Zn 3.09
Zn: 0.2500 0.2500 0.7500  4 Tm 3.09, 4 Sm 3.09
Zn: 0.2500 0.7500 0.2500  4 Tm 3.09, 4 Sm 3.09
Zn: 0.7500 0.2500 0.2500  4 Tm 3.09, 4 Sm 3.09
Zn: 0.7500 0.7500 0.7500  4 Sm 3.09, 4 Tm 3.09
Ge: 0.2500 0.2500 0.2500  4 Tm 3.09, 4 Sm 3.09
Ge: 0.2500 0.7500 0.7500  4 Tm 3.09, 4 Sm 3.09
Ge: 0.7500 0.2500 0.7500  4 Tm 3.09, 4 Sm 3.09
Ge: 0.7500 0.7500 0.2500  4 Tm 3.09, 4 Sm 3.09

SG	F-43m (216)
volume	362.3	Å³/cell
spin magnetization	0.0	μB/cell

=====

Result of the stability comparison: #one is the most stable of them.

=====

#one
SmYGe2: optimized geometry, GGA-PBE.

Unit cell a=4.2221 b=4.2221 c=20.3242 alpha=90.00 beta=90.00 gamma=120.00
Last column: nearest neighbours and their distance in Å.
Fractional positions:
Sm: 0.0000 0.0000 0.0000  6 Ge 2.98
Sm: 0.3333 0.6667 0.6667  6 Ge 2.98
Sm: 0.6667 0.3333 0.3333  6 Ge 2.98
Y: 0.0000 0.0000 0.5000  6 Ge 2.95
Y: 0.3333 0.6667 0.1667  6 Ge 2.95
Y: 0.6667 0.3333 0.8333  6 Ge 2.95
Ge: 0.0000 0.0000 0.2487  3 Y 2.95, 3 Sm 2.98
Ge: 0.0000 0.0000 0.7513  3 Y 2.95, 3 Sm 2.98
Ge: 0.3333 0.6667 0.4179  3 Y 2.95, 3 Sm 2.98
Ge: 0.3333 0.6667 0.9154  3 Y 2.95, 3 Sm 2.98
Ge: 0.6667 0.3333 0.0846  3 Y 2.95, 3 Sm 2.98
Ge: 0.6667 0.3333 0.5821  3 Y 2.95, 3 Sm 2.98

SG	R-3m (166)
volume	313.8	Å³/cell
spin magnetization	0.0	μB/cell

=====

#two
SmYGe2: optimized geometry, GGA-PBE.

Unit cell a=4.0093 b=4.3539 c=10.8602 alpha=90.00 beta=90.00 gamma=90.00
Last column: nearest neighbours and their distance in Å.
Fractional positions:
Sm: 0.0000 0.0000 0.0000  7 Ge 3.01-3.25
Sm: 0.0000 0.5000 0.5000  7 Ge 3.01-3.25
Y: 0.5000 0.0000 0.2760  7 Ge 3.02-3.24
Y: 0.5000 0.5000 0.7760  7 Ge 3.02-3.24
Ge: 0.0000 0.0000 0.7227  2 Ge 2.71, 1 Sm 3.01, 4 Y 3.02
Ge: 0.0000 0.5000 0.2227  2 Ge 2.71, 1 Sm 3.01, 4 Y 3.02
Ge: 0.5000 0.0000 0.5546  2 Ge 2.71, 4 Sm 3.02, 1 Y 3.03
Ge: 0.5000 0.5000 0.0546  2 Ge 2.71, 4 Sm 3.02, 1 Y 3.03

SG	Amm2 (38)
volume	189.6	Å³/cell
spin magnetization	0.0	μB/cell

=====

Result of the stability comparison: #two is the most stable of them.

=====

#one
Sm2YGe: optimized geometry, GGA-PBE.

Unit cell a=3.7772 b=3.7772 c=30.1154 alpha=90.00 beta=90.00 gamma=120.00
Last column: nearest neighbours and their distance in Å.
Fractional positions:
Sm: 0.0000 0.0000 0.2327  3 Ge 2.95
Sm: 0.0000 0.0000 0.7673  3 Ge 2.95
Sm: 0.3333 0.6667 0.4339  3 Ge 2.95
Sm: 0.3333 0.6667 0.8994  3 Ge 2.95
Sm: 0.6667 0.3333 0.1006  3 Ge 2.95
Sm: 0.6667 0.3333 0.5661  3 Ge 2.95
Y: 0.0000 0.0000 0.0000  6 Sm 3.73, 6 Y 3.78
Y: 0.3333 0.6667 0.6667  6 Sm 3.73, 6 Y 3.78
Y: 0.6667 0.3333 0.3333  6 Sm 3.73, 6 Y 3.78
Ge: 0.0000 0.0000 0.5000  6 Sm 2.95
Ge: 0.3333 0.6667 0.1667  6 Sm 2.95
Ge: 0.6667 0.3333 0.8333  6 Sm 2.95

SG	R-3m (166)
volume	372.1	Å³/cell
spin magnetization	0.0	μB/cell

=====

#two
Sm2YGe: optimized geometry, GGA-PBE.

Unit cell a=4.6968 b=4.6968 c=4.8207 alpha=90.00 beta=90.00 gamma=90.00
Last column: nearest neighbours and their distance in Å.
Fractional positions:
Sm: 0.0000 0.5000 0.0000  4 Sm 3.32, 4 Ge 3.37, 4 Y 3.37
Sm: 0.5000 0.0000 0.0000  4 Sm 3.32, 4 Ge 3.37, 4 Y 3.37
Y: 0.0000 0.0000 0.5000  4 Ge 3.32, 8 Sm 3.37
Ge: 0.5000 0.5000 0.5000  4 Y 3.32, 8 Sm 3.37

SG	P4/mmm (123)
volume	106.3	Å³/cell
spin magnetization	0.0	μB/cell

=====

Result of the stability comparison: #two is the most stable of them.